Record 1
First-principles (PBE) data for KHf4 after structural relaxation, as listed in the Alexandria database.

Properties
- ρ (g/cm3) = 10.6
- VASP energy (eV/atom) = -6.1980
- calculated formation energy (eV per atom) = 1.98

Geometry as CIF:
```
data_KHf4
_chemical_formula_sum 'K1 Hf4'
_symmetry_space_group_name_H-M 'P 1'
_symmetry_Int_Tables_number 1
_cell_length_a 4.8983
_cell_length_b 4.8983
_cell_length_c 4.8983
_cell_angle_alpha 90.00
_cell_angle_beta 90.00
_cell_angle_gamma 90.00
loop_
_symmetry_equiv_pos_as_xyz
'x,y,z'
loop_
_atom_site_label
_atom_site_type_symbol
_atom_site_fract_x
_atom_site_fract_y
_atom_site_fract_z
K1 K 0.0000 0.0000 0.0000
Hf1 Hf 0.0000 0.0000 0.5000
Hf2 Hf 0.0000 0.5000 0.0000
Hf3 Hf 0.5000 0.0000 0.0000
Hf4 Hf 0.5000 0.5000 0.5000
```

***

Record 2
First-principles (PBE) data for MnNbSn2 after structural relaxation, as listed in the Alexandria database.

Properties
- ρ (g/cm3) = 8.8
- VASP energy (eV/atom) = -6.3955
- calculated formation energy (eV per atom) = 0.42
- distance to the lowest polymorph of the same formula (kJ/mol of formula units) = 106

Geometry as CIF:
```
data_MnNbSn2
_chemical_formula_sum 'Mn4 Nb4 Sn8'
_symmetry_space_group_name_H-M 'P 1'
_symmetry_Int_Tables_number 1
_cell_length_a 6.6279
_cell_length_b 6.6279
_cell_length_c 6.6279
_cell_angle_alpha 90.00
_cell_angle_beta 90.00
_cell_angle_gamma 90.00
loop_
_symmetry_equiv_pos_as_xyz
'x,y,z'
loop_
_atom_site_label
_atom_site_type_symbol
_atom_site_fract_x
_atom_site_fract_y
_atom_site_fract_z
Mn1 Mn 0.0000 0.0000 0.0000
Mn2 Mn 0.0000 0.5000 0.5000
Mn3 Mn 0.5000 0.0000 0.5000
Mn4 Mn 0.5000 0.5000 0.0000
Nb1 Nb 0.0000 0.0000 0.5000
Nb2 Nb 0.0000 0.5000 0.0000
Nb3 Nb 0.5000 0.0000 0.0000
Nb4 Nb 0.5000 0.5000 0.5000
Sn1 Sn 0.2500 0.2500 0.2500
Sn2 Sn 0.2500 0.2500 0.7500
Sn3 Sn 0.2500 0.7500 0.2500
Sn4 Sn 0.2500 0.7500 0.7500
Sn5 Sn 0.7500 0.2500 0.2500
Sn6 Sn 0.7500 0.2500 0.7500
Sn7 Sn 0.7500 0.7500 0.2500
Sn8 Sn 0.7500 0.7500 0.7500
```

***

Record 3
First-principles (PBE) data for MnV3Cl after structural relaxation, as listed in the Alexandria database.

Properties
- ρ (g/cm3) = 4.7
- VASP energy (eV/atom) = -6.6976
- E_form (uncorrected) (eV per atom) = 0.977
- distance to the lowest polymorph of the same formula (kJ/mol of formula units) = 175

Geometry as CIF:
```
data_MnV3Cl
_chemical_formula_sum 'Mn1 V3 Cl1'
_symmetry_space_group_name_H-M 'P 1'
_symmetry_Int_Tables_number 1
_cell_length_a 4.4189
_cell_length_b 4.4189
_cell_length_c 4.4189
_cell_angle_alpha 90.00
_cell_angle_beta 90.00
_cell_angle_gamma 90.00
loop_
_symmetry_equiv_pos_as_xyz
'x,y,z'
loop_
_atom_site_label
_atom_site_type_symbol
_atom_site_fract_x
_atom_site_fract_y
_atom_site_fract_z
Mn1 Mn 0.0000 0.0000 0.0000
V1 V 0.0000 0.0000 0.5000
V2 V 0.0000 0.5000 0.0000
V3 V 0.5000 0.0000 0.0000
Cl1 Cl 0.5000 0.5000 0.5000
```

***

Record 4
First-principles (PBE) data for ZrTlCu after structural relaxation, as listed in the Alexandria database.

Properties
- ρ (g/cm3) = 10.0
- VASP energy (eV/atom) = -4.9770
- calculated formation energy (eV per atom) = 0.03

Geometry as CIF:
```
data_ZrTlCu
_chemical_formula_sum 'Zr4 Tl4 Cu4'
_symmetry_space_group_name_H-M 'P 1'
_symmetry_Int_Tables_number 1
_cell_length_a 11.4004
_cell_length_b 4.1149
_cell_length_c 5.9008
_cell_angle_alpha 90.00
_cell_angle_beta 120.95
_cell_angle_gamma 90.00
loop_
_symmetry_equiv_pos_as_xyz
'x,y,z'
loop_
_atom_site_label
_atom_site_type_symbol
_atom_site_fract_x
_atom_site_fract_y
_atom_site_fract_z
Zr1 Zr 0.1963 0.0000 0.1880
Zr2 Zr 0.3037 0.5000 0.8120
Zr3 Zr 0.6963 0.5000 0.1880
Zr4 Zr 0.8037 0.0000 0.8120
Tl1 Tl 0.0047 0.5000 0.2514
Tl2 Tl 0.4953 0.0000 0.7486
Tl3 Tl 0.5047 0.0000 0.2514
Tl4 Tl 0.9953 0.5000 0.7486
Cu1 Cu 0.1306 0.0000 0.6324
Cu2 Cu 0.3694 0.5000 0.3676
Cu3 Cu 0.6306 0.5000 0.6324
Cu4 Cu 0.8694 0.0000 0.3676
```

***

> Which value of VASP energy does entry 2 give?

-6.3955 eV/atom